! Na3PaI7 | Alexandria | PBE | optimized geometry; values from VASP
! V ... 493 Å³ per cell
! Space-group type ... Cm
! Formation energy from raw total energies ... -11.81 eV per formula unit
&SYSTEM
  ibrav = 0, nat = 11, ntyp = 3
/
ATOMIC_SPECIES
Pa 231.04 Pa.upf
I 126.90 I.upf
Na 22.99 Na.upf
ATOMIC_POSITIONS angstrom
Pa -4.177 -11.637 4.704
I -0.917 -4.895 4.899
I 0.457 -6.853 1.276
I 2.187 -12.047 4.253
I 0.186 -2.250 1.287
I 0.556 -9.723 8.554
I -1.652 -9.349 4.426
I 0.086 -14.002 7.601
Na -2.556 -6.876 2.746
Na 0.821 -9.818 2.482
Na -0.835 -7.458 6.849
CELL_PARAMETERS angstrom
-3.824 -3.983 6.311
-0.860 -8.205 -1.501
5.375 -4.766 4.615

! NaPaI6 | Alexandria | PBE | optimized geometry; values from VASP
! V ... 402 Å³ per cell
! Space-group type ... C2/m
! Formation energy from raw total energies ... -8.09 eV per formula unit
! Energy above the most stable polymorph in this dataset ... 0 meV per atom
&SYSTEM
  ibrav = 0, nat = 8, ntyp = 3
/
ATOMIC_SPECIES
I 126.90 I.upf
Pa 231.04 Pa.upf
Na 22.99 Na.upf
ATOMIC_POSITIONS angstrom
I -0.748 -1.112 -3.143
I -1.956 -3.090 -8.530
I -1.170 -4.896 -4.850
I -5.088 -6.567 -6.864
I -2.010 -9.337 -6.535
I -4.248 -2.125 -5.179
Pa -1.352 -2.101 -5.836
Na 0.000 0.000 0.000
CELL_PARAMETERS angstrom
-4.649 0.914 -6.108
1.945 -5.116 -5.565
-3.554 -7.261 -0.041

! Na2PaI7 | Alexandria | PBE | optimized geometry; values from VASP
! V ... 1103 Å³ per cell
! Space-group type ... C2/c
! Formation energy from raw total energies ... -9.84 eV per formula unit
&SYSTEM
  ibrav = 0, nat = 20, ntyp = 3
/
ATOMIC_SPECIES
I 126.90 I.upf
Na 22.99 Na.upf
Pa 231.04 Pa.upf
ATOMIC_POSITIONS angstrom
I 0.505 -8.085 4.323
I 3.692 -7.217 1.784
I 2.716 -0.309 2.514
I 3.723 -12.553 4.838
I 6.698 -14.178 3.238
I 12.077 -9.286 6.192
I 7.072 -6.997 8.955
I 5.885 -3.194 7.277
I 8.891 -10.154 8.732
I 7.069 -14.050 7.326
I 9.866 -17.062 8.002
I 8.859 -4.819 5.677
I 5.510 -10.375 1.561
I 5.513 -3.322 3.189
Na 8.286 -11.853 1.464
Na 4.296 -5.519 9.051
Na 2.602 -10.217 2.751
Na 9.981 -7.155 7.764
Pa 5.756 -7.927 -0.467
Pa 6.826 -9.445 10.982
CELL_PARAMETERS angstrom
-0.734 -7.316 6.061
4.943 -9.933 -3.901
8.373 -0.123 8.356

! RbNa2PaI8 | Alexandria | PBE | optimized geometry; values from VASP
! V ... 621 Å³ per cell
! Space-group type ... P-1
! Formation energy from raw total energies ... -13.20 eV per formula unit
&SYSTEM
  ibrav = 0, nat = 12, ntyp = 4
/
ATOMIC_SPECIES
I 126.90 I.upf
Na 22.99 Na.upf
Pa 231.04 Pa.upf
Rb 85.47 Rb.upf
ATOMIC_POSITIONS angstrom
I 6.922 3.613 7.556
I 5.508 4.708 1.601
I 0.770 5.336 2.133
I 2.998 3.211 5.186
I 2.979 6.419 8.717
I 9.150 1.488 10.608
I 6.941 0.404 4.025
I 4.412 2.116 11.141
Na 3.951 3.250 8.067
Na 5.969 3.574 4.674
Pa 0.000 0.000 0.000
Rb 1.064 0.149 5.381
CELL_PARAMETERS angstrom
8.329 -0.748 1.641
-0.536 7.275 0.339
2.128 0.298 10.761

! Na2Pa2S5I2 | Alexandria | PBE | optimized geometry; values from VASP
! V ... 368 Å³ per cell
! Space-group type ... I4/mmm
! Formation energy from raw total energies ... -14.59 eV per formula unit
&SYSTEM
  ibrav = 0, nat = 11, ntyp = 4
/
ATOMIC_SPECIES
S 32.06 S.upf
Pa 231.04 Pa.upf
I 126.90 I.upf
Na 22.99 Na.upf
ATOMIC_POSITIONS angstrom
S 0.776 -3.490 1.302
S -0.402 -0.895 3.676
S 0.000 0.000 0.000
S 5.300 -6.594 6.940
S 4.122 -4.000 9.314
Pa 1.477 -1.013 1.840
Pa 3.421 -6.476 8.776
I 1.661 -5.268 6.583
I 3.237 -2.221 4.034
Na -0.350 -3.888 4.077
Na 5.248 -3.601 6.540
CELL_PARAMETERS angstrom
-3.974 0.386 3.401
-1.619 -4.804 -1.346
10.491 -3.072 8.561

! NaPaTl2I8 | Alexandria | PBE | optimized geometry; values from VASP
! V ... 599 Å³ per cell
! Space-group type ... P2/m
! Formation energy from raw total energies ... -10.36 eV per formula unit
&SYSTEM
  ibrav = 0, nat = 12, ntyp = 4
/
ATOMIC_SPECIES
Tl 204.38 Tl.upf
I 126.90 I.upf
Pa 231.04 Pa.upf
Na 22.99 Na.upf
ATOMIC_POSITIONS angstrom
Tl 3.941 3.701 7.197
Tl 3.939 3.700 2.656
I 6.982 1.638 7.746
I 2.486 1.858 4.927
I 0.905 5.771 7.744
I 5.394 5.543 4.925
I 6.974 1.629 2.109
I 0.898 5.762 2.106
I 5.357 5.892 9.853
I 2.523 1.509 -0.001
Pa 0.000 0.000 0.000
Na 0.003 0.006 4.932
CELL_PARAMETERS angstrom
8.060 -0.148 -0.003
-0.186 7.537 -0.008
0.006 0.012 9.865

The lowest formation energy from raw total energies belongs to which entry? Na2Pa2S5I2

Please write out number 4 again, unchanged.
! RbNa2PaI8 | Alexandria | PBE | optimized geometry; values from VASP
! V ... 621 Å³ per cell
! Space-group type ... P-1
! Formation energy from raw total energies ... -13.20 eV per formula unit
&SYSTEM
  ibrav = 0, nat = 12, ntyp = 4
/
ATOMIC_SPECIES
I 126.90 I.upf
Na 22.99 Na.upf
Pa 231.04 Pa.upf
Rb 85.47 Rb.upf
ATOMIC_POSITIONS angstrom
I 6.922 3.613 7.556
I 5.508 4.708 1.601
I 0.770 5.336 2.133
I 2.998 3.211 5.186
I 2.979 6.419 8.717
I 9.150 1.488 10.608
I 6.941 0.404 4.025
I 4.412 2.116 11.141
Na 3.951 3.250 8.067
Na 5.969 3.574 4.674
Pa 0.000 0.000 0.000
Rb 1.064 0.149 5.381
CELL_PARAMETERS angstrom
8.329 -0.748 1.641
-0.536 7.275 0.339
2.128 0.298 10.761

Which of these has the lowest formation energy from raw total energies? Na2Pa2S5I2